No. 1
The following is a PBE calculation of an optimized crystal structure of Be2PtSe, from the Alexandria database.

Unit cell a=2.717 b=3.301 c=6.259 alpha=90.00 beta=90.00 gamma=90.00
Sites, in units of the cell vectors:
Be (0.000, 0.000, 0.432)
Be (0.000, 0.000, 0.068)
Pt (0.500, 0.500, 0.250)
Se (0.500, 0.500, 0.750)

Results
**Total DFT energy (no corrections)**: -4.36 eV/atom
**Total magnetization**: 0.00 μB per formula unit
**Formation energy without anion corrections**: -0.116 eV/atom

***

No. 2
The following is a PBE calculation of an optimized crystal structure of Be2PtSe, from the Alexandria database.

Unit cell a=6.840 b=6.840 c=6.840 alpha=156.76 beta=150.11 gamma=38.20
Sites, in units of the cell vectors:
Be (0.999, 0.999, 0.000)
Be (0.314, 0.814, 0.500)
Se (0.725, 0.225, 0.500)
Pt (0.462, 0.462, 0.000)

Results
**Total DFT energy (no corrections)**: -4.44 eV/atom
**Total magnetization**: 0.00 μB per formula unit
**Formation energy without anion corrections**: -0.195 eV/atom

***

No. 3
The following is a PBE calculation of an optimized crystal structure of HfGa2Br, from the Alexandria database.

Unit cell a=8.536 b=8.536 c=6.587 alpha=49.62 beta=49.62 gamma=90.00
Sites, in units of the cell vectors:
Hf (0.000, 0.000, 0.000)
Hf (0.750, 0.250, 0.500)
Ga (0.677, 0.125, 0.250)
Ga (0.073, 0.625, 0.250)
Ga (0.875, 0.927, 0.750)
Ga (0.375, 0.323, 0.750)
Br (0.250, 0.750, 0.500)
Br (0.500, 0.500, 0.000)

Results
**Total DFT energy (no corrections)**: -4.24 eV/atom
**Distance to the lowest polymorph of the same formula**: 0.000 eV/atom
**Total magnetization**: 0.00 μB per formula unit
**Formation energy without anion corrections**: 0.182 eV/atom

***

Question: Which of these has the lowest total DFT energy (no corrections)?
Answer: number 2

***

Question: Look up the total DFT energy (no corrections) of the second one.
Answer: -4.44 eV/atom

***

Question: formation energy without anion corrections of number 3 (HfGa2Br)?
Answer: 0.182 eV/atom

***

Question: What is the formula in the second record?
Answer: Be2PtSe